Record 1
Material: PuThGeSe
Method: DFT, GGA-PBE
State: optimized geometry

Formation energy (no corrections)   -4.33 eV/f.u.

Cell lengths 7.2056, 7.2056, 7.2056 Å; angles 34.40, 34.40, 34.40 degrees
Sites, in units of the cell vectors:
Pu (0.0000, 0.0000, 0.0000)
Th (0.5035, 0.5035, 0.5035)
Ge (0.2529, 0.2529, 0.2529)
Se (0.7482, 0.7482, 0.7482)


Record 2
Material: AcTlPdAu
Method: DFT, GGA-PBE
State: optimized geometry

ΔH_f (0 K)   -50.7 kJ/mol of atoms

Cell lengths 5.2136, 5.2136, 5.2136 Å; angles 60.00, 60.00, 60.00 degrees
Sites, in units of the cell vectors:
Ac (0.0000, 0.0000, 0.0000)
Tl (0.5000, 0.5000, 0.5000)
Pd (0.7500, 0.7500, 0.7500)
Au (0.2500, 0.2500, 0.2500)


Record 3
Material: Ac7HgPb4
Method: DFT, GGA-PBE
State: optimized geometry

ΔH_f (0 K)   -26.6 kJ/mol of atoms

Cell lengths 8.9193, 8.9193, 12.0649 Å; angles 124.37, 124.37, 39.91 degrees
Sites, in units of the cell vectors:
Ac (0.0000, 0.0000, 0.0000)
Ac (0.1484, 0.1484, 0.5674)
Ac (0.2947, 0.2947, 0.1354)
Ac (0.4217, 0.4217, 0.6815)
Ac (0.5783, 0.5783, 0.3185)
Ac (0.7053, 0.7053, 0.8646)
Ac (0.8516, 0.8516, 0.4326)
Hg (0.5000, 0.5000, 0.0000)
Pb (0.0785, 0.0785, 0.7826)
Pb (0.2167, 0.2167, 0.3374)
Pb (0.7833, 0.7833, 0.6626)
Pb (0.9215, 0.9215, 0.2174)


| no. | magnetic moment (μB/cell) | E_tot (eV/atom) |
| --- | --- | --- |
| 1 | 5.46 | -8.547 |
| 2 | 0.00 | -4.262 |
| 3 | 0.00 | -3.934 |